# LuAlSn2 (GGA-PBE, optimized geometry)
data_LuAlSn2
_chemical_formula_sum 'Lu4 Al4 Sn8'
_cell_length_a 7.3557
_cell_length_b 7.3557
_cell_length_c 7.3557
_cell_angle_alpha 90.00
_cell_angle_beta 90.00
_cell_angle_gamma 90.00
_space_group_name_H-M_alt 'F -4 3 m'
_space_group_IT_number 216
_space_group_name_Hall 'F -4 2 3'
loop_
_atom_site_label
_atom_site_type_symbol
_atom_site_fract_x
_atom_site_fract_y
_atom_site_fract_z
Lu1 Lu 0.0000 0.0000 0.0000
Al1 Al 0.2500 0.2500 0.7500
Sn1 Sn 0.0000 0.0000 0.5000
Sn2 Sn 0.2500 0.2500 0.2500
# Raw total energy   -4.10 eV/atom
# Mass density   7333 kg/m3
# Total magnetization   0.02 μB/cell

***

# ErAsNO (GGA-PBE, optimized geometry)
data_ErAsNO
_chemical_formula_sum 'Er2 As2 N2 O2'
_cell_length_a 4.2065
_cell_length_b 4.2065
_cell_length_c 6.9096
_cell_angle_alpha 90.00
_cell_angle_beta 90.00
_cell_angle_gamma 90.00
_space_group_name_H-M_alt 'P 4/n m m'
_space_group_IT_number 129
loop_
_space_group_symop_operation_xyz
'x,y,z'
'-x,-y,-z'
'-y+1/2,x,z'
'y+1/2,-x,-z'
'-x+1/2,-y+1/2,z'
'x+1/2,y+1/2,-z'
'y,-x+1/2,z'
'-y,x+1/2,-z'
'x+1/2,-y,-z'
'-x+1/2,y,z'
'-y,-x,-z'
'y,x,z'
'-x,y+1/2,-z'
'x,-y+1/2,z'
'y+1/2,x+1/2,-z'
'-y+1/2,-x+1/2,z'
loop_
_atom_site_label
_atom_site_type_symbol
_atom_site_fract_x
_atom_site_fract_y
_atom_site_fract_z
Er1 Er 0.2500 0.2500 0.1343
As1 As 0.2500 0.7500 0.5000
N1 N 0.2500 0.2500 0.4683
O1 O 0.2500 0.7500 0.0000
# Raw total energy   -6.86 eV/atom
# Mass density   7393 kg/m3
# Distance to the lowest polymorph of the same formula   0.045 eV per atom
# Total magnetization   0.00 μB/cell

***

# NaTlPdPb (GGA-PBE, optimized geometry)
data_NaTlPdPb
_chemical_formula_sum 'Na4 Tl4 Pd4 Pb4'
_cell_length_a 7.2442
_cell_length_b 7.2442
_cell_length_c 7.2442
_cell_angle_alpha 90.00
_cell_angle_beta 90.00
_cell_angle_gamma 90.00
_space_group_name_H-M_alt 'F -4 3 m'
_space_group_IT_number 216
_space_group_name_Hall 'F -4 2 3'
loop_
_atom_site_label
_atom_site_type_symbol
_atom_site_fract_x
_atom_site_fract_y
_atom_site_fract_z
Na1 Na 0.0000 0.0000 0.0000
Tl1 Tl 0.2500 0.2500 0.2500
Pd1 Pd 0.2500 0.2500 0.7500
Pb1 Pb 0.0000 0.0000 0.5000
# Raw total energy   -3.20 eV/atom
# Mass density   9452 kg/m3
# Distance to the lowest polymorph of the same formula   0.159 eV per atom

***

# NbNiMoPb (GGA-PBE, optimized geometry)
data_NbNiMoPb
_chemical_formula_sum 'Nb4 Ni4 Mo4 Pb4'
_cell_length_a 6.5023
_cell_length_b 6.5023
_cell_length_c 6.5023
_cell_angle_alpha 90.00
_cell_angle_beta 90.00
_cell_angle_gamma 90.00
_space_group_name_H-M_alt 'F -4 3 m'
_space_group_IT_number 216
_space_group_name_Hall 'F -4 2 3'
loop_
_atom_site_label
_atom_site_type_symbol
_atom_site_fract_x
_atom_site_fract_y
_atom_site_fract_z
Nb1 Nb 0.0000 0.0000 0.0000
Ni1 Ni 0.2500 0.2500 0.7500
Mo1 Mo 0.2500 0.2500 0.2500
Pb1 Pb 0.0000 0.0000 0.5000
# Raw total energy   -7.16 eV/atom
# Mass density   10987 kg/m3
# Distance to the lowest polymorph of the same formula   0.000 eV per atom
# Total magnetization   0.03 μB/cell

***

# Cu5Ag4 (GGA-PBE, optimized geometry)
data_Cu5Ag4
_chemical_formula_sum 'Cu10 Ag8'
_cell_length_a 9.3928
_cell_length_b 2.8239
_cell_length_c 10.6654
_cell_angle_alpha 90.00
_cell_angle_beta 112.18
_cell_angle_gamma 90.00
_space_group_name_H-M_alt 'C 1 m 1'
_space_group_IT_number 8
loop_
_space_group_symop_operation_xyz
'x,y,z'
'x,-y,z'
'x+1/2,y+1/2,z'
'x+1/2,-y+1/2,z'
loop_
_atom_site_label
_atom_site_type_symbol
_atom_site_fract_x
_atom_site_fract_y
_atom_site_fract_z
Cu1 Cu 0.0000 0.0000 0.0000
Cu2 Cu 0.0172 0.0000 0.3360
Cu3 Cu 0.1883 0.5000 0.9385
Cu4 Cu 0.3202 0.0000 0.8173
Cu5 Cu 0.3710 0.0000 0.1241
Ag1 Ag 0.0037 0.0000 0.7202
Ag2 Ag 0.1728 0.5000 0.5800
Ag3 Ag 0.1841 0.5000 0.2151
Ag4 Ag 0.3515 0.0000 0.4576
# Raw total energy   -3.25 eV/atom
# ΔH_f (0 K)   0.072 eV/atom
# Mass density   9498 kg/m3
# Distance to the lowest polymorph of the same formula   0.031 eV per atom

***

# TbYSe6 (GGA-PBE, optimized geometry)
data_TbYSe6
_chemical_formula_sum 'Tb2 Y2 Se12'
_cell_length_a 3.9212
_cell_length_b 3.9211
_cell_length_c 25.7279
_cell_angle_alpha 90.00
_cell_angle_beta 90.00
_cell_angle_gamma 90.00
_space_group_name_H-M_alt 'A m m 2'
_space_group_IT_number 38
loop_
_space_group_symop_operation_xyz
'x,y,z'
'-x,-y,z'
'-x,y,z'
'x,-y,z'
'x,y+1/2,z+1/2'
'-x,-y+1/2,z+1/2'
'-x,y+1/2,z+1/2'
'x,-y+1/2,z+1/2'
loop_
_atom_site_label
_atom_site_type_symbol
_atom_site_fract_x
_atom_site_fract_y
_atom_site_fract_z
Tb1 Tb 0.0000 0.0000 0.0000
Y1 Y 0.5000 0.0000 0.6515
Se1 Se 0.0000 0.0000 0.1177
Se2 Se 0.0000 0.0000 0.4078
Se3 Se 0.0000 0.0000 0.7437
Se4 Se 0.5000 0.0000 0.2437
Se5 Se 0.5000 0.0000 0.5338
Se6 Se 0.5000 0.0000 0.9078
# Raw total energy   -5.20 eV/atom
# Mass density   6058 kg/m3
# Total magnetization   0.02 μB/cell

***

# AlCuAgW (GGA-PBE, optimized geometry)
data_AlCuAgW
_chemical_formula_sum 'Al4 Cu4 Ag4 W4'
_cell_length_a 6.2739
_cell_length_b 6.2739
_cell_length_c 6.2739
_cell_angle_alpha 90.00
_cell_angle_beta 90.00
_cell_angle_gamma 90.00
_space_group_name_H-M_alt 'F -4 3 m'
_space_group_IT_number 216
_space_group_name_Hall 'F -4 2 3'
loop_
_atom_site_label
_atom_site_type_symbol
_atom_site_fract_x
_atom_site_fract_y
_atom_site_fract_z
Al1 Al 0.0000 0.0000 0.0000
Cu1 Cu 0.2500 0.2500 0.2500
Ag1 Ag 0.0000 0.0000 0.5000
W1 W 0.2500 0.2500 0.7500
# Raw total energy   -5.27 eV/atom
# Mass density   10281 kg/m3
# Distance to the lowest polymorph of the same formula   0.000 eV per atom
# Total magnetization   5.38 μB/cell

***

# BaSrB2Pt8 (GGA-PBE, optimized geometry)
data_BaSrB2Pt8
_chemical_formula_sum 'Ba1 Sr1 B2 Pt8'
_cell_length_a 5.6482
_cell_length_b 5.6482
_cell_length_c 7.5539
_cell_angle_alpha 90.00
_cell_angle_beta 90.00
_cell_angle_gamma 120.00
_space_group_name_H-M_alt 'P 6/m m m'
_space_group_IT_number 191
_space_group_name_Hall '-P 6 2'
loop_
_atom_site_label
_atom_site_type_symbol
_atom_site_fract_x
_atom_site_fract_y
_atom_site_fract_z
Ba1 Ba 0.0000 0.0000 0.0000
Sr1 Sr 0.0000 0.0000 0.5000
B1 B 0.3333 0.6667 0.5000
Pt1 Pt 0.0000 0.5000 0.3043
Pt2 Pt 0.3333 0.6667 0.0000
# Raw total energy   -6.08 eV/atom
# Mass density   14379 kg/m3
# Distance to the lowest polymorph of the same formula   0.000 eV per atom
# Total magnetization   0.01 μB/cell